[1]
KTcOs2, optimized geometry, DFT PBE; excess energy over the best structure of this formula in the dataset = 301.6 meV per atom; DOS(E_F) = 1.2867 states/eV per atom; calculated total energy = -30.0 eV for the cell shown
1.0
-0.818 -2.583 0.273
2.482 0.621 0.931
-4.077 2.278 9.344
Os K Tc
2 1 1
direct
0.500 0.500 0.251 Os
0.000 0.000 0.033 Os
0.500 0.500 0.753 K
0.000 0.000 0.463 Tc

***

[2]
CaCd3C4O12, optimized geometry, DFT PBE; formation energy without anion corrections = -1.553 eV per atom; DOS(E_F) = 0.0000 states/eV per atom; calculated total energy = -132.2 eV for the cell shown
1.0
-4.983 -1.457 -3.892
4.695 -3.868 -2.258
-1.667 -2.938 5.540
O Cd Ca C
12 3 1 4
direct
0.500 0.102 0.898 O
0.628 0.500 0.372 O
0.021 0.627 0.844 O
0.373 0.979 0.156 O
0.979 0.156 0.373 O
0.102 0.898 0.500 O
0.898 0.500 0.102 O
0.500 0.372 0.628 O
0.156 0.373 0.979 O
0.372 0.628 0.500 O
0.627 0.844 0.021 O
0.844 0.021 0.627 O
0.478 0.000 0.522 Cd
0.522 0.478 0.000 Cd
0.000 0.522 0.478 Cd
0.000 0.000 0.000 Ca
0.974 0.026 0.500 C
0.500 0.974 0.026 C
0.500 0.500 0.500 C
0.026 0.500 0.974 C

***

[3]
TbY2Se, optimized geometry, DFT PBE; excess energy over the best structure of this formula in the dataset = 264.6 meV per atom; formation energy without anion corrections = -0.563 eV per atom; DOS(E_F) = 1.2062 states/eV per atom; calculated total energy = -23.3 eV for the cell shown
1.0
-1.920 -2.836 -1.468
0.277 -3.406 1.487
-8.457 0.021 6.293
Y Se Tb
2 1 1
direct
0.891 0.891 0.326 Y
0.109 0.109 0.674 Y
0.500 0.500 0.500 Se
0.000 0.000 0.000 Tb

***

[4]
TbTcW, optimized geometry, DFT PBE; excess energy over the best structure of this formula in the dataset = 0.0 meV per atom; DOS(E_F) = 0.8471 states/eV per atom; calculated total energy = -56.1 eV for the cell shown
1.0
4.758 -0.006 -2.690
-3.108 4.495 -0.123
-0.027 0.006 5.466
W Tb Tc
2 2 2
direct
0.000 0.500 0.000 W
0.500 0.500 0.500 W
0.250 0.123 0.873 Tb
0.750 0.877 0.127 Tb
0.500 0.000 0.500 Tc
0.000 0.500 0.500 Tc

***

[5]
Tb2ScHg2, optimized geometry, DFT PBE; excess energy over the best structure of this formula in the dataset = 34.0 meV per atom; DOS(E_F) = 1.2904 states/eV per atom; calculated total energy = -17.7 eV for the cell shown
1.0
3.924 0.000 0.000
1.962 5.986 0.132
1.962 1.730 5.732
Sc Tb Hg
1 2 2
direct
0.000 0.000 0.000 Sc
0.212 0.288 0.288 Tb
0.788 0.712 0.712 Tb
0.500 0.711 0.289 Hg
0.500 0.289 0.711 Hg

***

[6]
TaAgO3, optimized geometry, DFT PBE; formation energy without anion corrections = 0.457 eV per atom; DOS(E_F) = 0.8231 states/eV per atom; calculated total energy = -27.3 eV for the cell shown
1.0
3.983 0.000 0.000
0.000 3.983 0.000
0.000 0.000 3.983
Ta O Ag
1 3 1
direct
0.500 0.500 0.500 Ta
0.000 0.500 0.000 O
0.000 0.000 0.500 O
0.500 0.000 0.000 O
0.000 0.000 0.000 Ag